Run one
Compound: BeSbIr
Source: Alexandria via LeMat-Bulk
Functional: PBE
Structure: optimized geometry

a b c (Å): 3.029 3.029 10.753
angles (deg): 90.00 90.00 90.00
Space group I4mm (No. 107)
Symmetry-distinct sites (fractional):
1 Be 0.000 0.000 0.000 [2 per cell]
2 Sb 0.000 0.000 0.721 [2 per cell]
3 Ir 0.000 0.000 0.419 [2 per cell]

---

Run two
Compound: BeSbIr
Source: Alexandria via LeMat-Bulk
Functional: PBE
Structure: optimized geometry

a b c (Å): 3.9018 3.9018 3.7431
angles (deg): 90.00 90.00 120.00
Space group P-6m2 (No. 187)
Symmetry-distinct sites (fractional):
1 Be 0.0000 0.0000 0.0000 [1 per cell]
2 Sb 0.3333 0.6667 0.5000 [1 per cell]
3 Ir 0.6667 0.3333 0.0000 [1 per cell]

---

The most stable of them is run two.